Entry 1:
## Pr6Mg23C (PBEsol)

Data for Pr6Mg23C after structural relaxation.

The structure in CIF format:
```
data_Pr6Mg23C
_cell_length_a 10.1234
_cell_length_b 10.1234
_cell_length_c 10.1234
_cell_angle_alpha 60.00
_cell_angle_beta 60.00
_cell_angle_gamma 60.00
_space_group_name_H-M_alt 'P 1'
_space_group_IT_number 1
loop_
_space_group_symop_operation_xyz
'x,y,z'
loop_
_atom_site_label
_atom_site_fract_x
_atom_site_fract_y
_atom_site_fract_z
Pr1 0.1828 0.1828 0.8172
Pr2 0.8172 0.1828 0.8172
Pr3 0.8172 0.1828 0.1828
Pr4 0.8172 0.8172 0.1828
Pr5 0.1828 0.8172 0.1828
Pr6 0.1828 0.8172 0.8172
Mg1 0.8292 0.5123 0.8292
Mg2 0.8292 0.8292 0.5123
Mg3 0.8292 0.8292 0.8292
Mg4 0.5123 0.8292 0.8292
Mg5 0.1708 0.4877 0.1708
Mg6 0.1708 0.1708 0.4877
Mg7 0.1708 0.1708 0.1708
Mg8 0.4877 0.1708 0.1708
Mg9 0.6202 0.1395 0.6202
Mg10 0.6202 0.6202 0.1395
Mg11 0.6202 0.6202 0.6202
Mg12 0.1395 0.6202 0.6202
Mg13 0.3798 0.8605 0.3798
Mg14 0.3798 0.3798 0.8605
Mg15 0.3798 0.3798 0.3798
Mg16 0.8605 0.3798 0.3798
Mg17 0.5000 0.5000 0.0000
Mg18 0.0000 0.5000 0.0000
Mg19 0.0000 0.5000 0.5000
Mg20 0.0000 0.0000 0.5000
Mg21 0.5000 0.0000 0.5000
Mg22 0.5000 0.0000 0.0000
Mg23 0.5000 0.5000 0.5000
C1 0.0000 0.0000 0.0000
```

## Properties
Magnetic moment (μB per formula unit): 0.00
Energy relative to the elements (eV/atom): -0.1025
Total DFT energy (no corrections) (eV/atom): -2.777
Crystal system: cubic
Volume (Å³/atom): 24.5
Density (g/cm3): 3.2

***

Entry 2:
## ZnSiAg2 (PBEsol)

Data for ZnSiAg2 after structural relaxation.

The structure in CIF format:
```
data_ZnSiAg2
_cell_length_a 2.7826
_cell_length_b 3.9501
_cell_length_c 5.6478
_cell_angle_alpha 90.00
_cell_angle_beta 90.00
_cell_angle_gamma 90.00
_space_group_name_H-M_alt 'P 1'
_space_group_IT_number 1
loop_
_space_group_symop_operation_xyz
'x,y,z'
loop_
_atom_site_label
_atom_site_fract_x
_atom_site_fract_y
_atom_site_fract_z
Ag1 0.0000 0.0000 0.7476
Ag2 0.0000 0.0000 0.2524
Si1 0.5000 0.5000 0.0000
Zn1 0.5000 0.5000 0.5000
```

## Properties
Magnetic moment (μB per formula unit): 0.00
Total DFT energy (no corrections) (eV/atom): -3.355
Offset from the most stable computed form (meV per atom): 16
Energy relative to the elements, uncorrected (kJ/mol of formula units): 51
Crystal system: orthorhombic
Volume (Å³/atom): 15.5
Density (g/cm3): 8.3

***

Entry 3:
## BeMoAu (PBEsol)

Data for BeMoAu after structural relaxation.

The structure in CIF format:
```
data_BeMoAu
_cell_length_a 4.1197
_cell_length_b 4.1197
_cell_length_c 4.1197
_cell_angle_alpha 60.00
_cell_angle_beta 60.00
_cell_angle_gamma 60.00
_space_group_name_H-M_alt 'P 1'
_space_group_IT_number 1
loop_
_space_group_symop_operation_xyz
'x,y,z'
loop_
_atom_site_label
_atom_site_fract_x
_atom_site_fract_y
_atom_site_fract_z
Be1 0.0000 0.0000 0.0000
Mo1 0.5000 0.5000 0.5000
Au1 0.2500 0.2500 0.2500
```

## Properties
Magnetic moment (μB per formula unit): 0.95
Energy relative to the elements (eV/atom): 0.7450
Total DFT energy (no corrections) (eV/atom): -5.819
Offset from the most stable computed form (meV per atom): 490
Crystal system: cubic
Volume (Å³/atom): 16.5
Density (g/cm3): 10.1

***

Entry 4:
## Al2OsCl (PBEsol)

Data for Al2OsCl after structural relaxation.

The structure in CIF format:
```
data_Al2OsCl
_cell_length_a 2.9997
_cell_length_b 3.0637
_cell_length_c 7.1369
_cell_angle_alpha 90.00
_cell_angle_beta 90.00
_cell_angle_gamma 90.00
_space_group_name_H-M_alt 'P 1'
_space_group_IT_number 1
loop_
_space_group_symop_operation_xyz
'x,y,z'
loop_
_atom_site_label
_atom_site_fract_x
_atom_site_fract_y
_atom_site_fract_z
Os1 0.5000 0.5000 0.5000
Al1 0.0000 0.0000 0.6957
Al2 0.0000 0.0000 0.3043
Cl1 0.5000 0.0000 0.0000
```

## Properties
Magnetic moment (μB per formula unit): 0.00
Total DFT energy (no corrections) (eV/atom): -6.090
Energy relative to the elements, uncorrected (kJ/mol of formula units): -189
Crystal system: orthorhombic
Volume (Å³/atom): 16.4
Density (g/cm3): 7.1

***

Entry 5:
## SnPb (PBEsol)

Data for SnPb after structural relaxation.

The structure in CIF format:
```
data_SnPb
_cell_length_a 3.4471
_cell_length_b 3.4471
_cell_length_c 5.4125
_cell_angle_alpha 90.00
_cell_angle_beta 90.00
_cell_angle_gamma 120.00
_space_group_name_H-M_alt 'P 1'
_space_group_IT_number 1
loop_
_space_group_symop_operation_xyz
'x,y,z'
loop_
_atom_site_label
_atom_site_fract_x
_atom_site_fract_y
_atom_site_fract_z
Pb1 0.6667 0.3333 0.5000
Sn1 0.0000 0.0000 0.0000
```

## Properties
Magnetic moment (μB per formula unit): 0.00
Energy relative to the elements (eV/atom): 0.0387
Total DFT energy (no corrections) (eV/atom): -4.090
Crystal system: hexagonal
Volume (Å³/atom): 27.8
Density (g/cm3): 9.7

***

Entry 6:
## MnPb2 (PBEsol)

Data for MnPb2 after structural relaxation.

The structure in CIF format:
```
data_MnPb2
_cell_length_a 3.3567
_cell_length_b 3.3567
_cell_length_c 6.7752
_cell_angle_alpha 104.34
_cell_angle_beta 104.34
_cell_angle_gamma 90.00
_space_group_name_H-M_alt 'P 1'
_space_group_IT_number 1
loop_
_space_group_symop_operation_xyz
'x,y,z'
loop_
_atom_site_label
_atom_site_fract_x
_atom_site_fract_y
_atom_site_fract_z
Mn1 0.0000 0.0000 0.0000
Pb1 0.6410 0.6410 0.2820
Pb2 0.3590 0.3590 0.7180
```

## Properties
Magnetic moment (μB per formula unit): 3.81
Energy relative to the elements (eV/atom): 0.4065
Total DFT energy (no corrections) (eV/atom): -5.513
Crystal system: tetragonal
Volume (Å³/atom): 23.8
Density (g/cm3): 10.9

***

Entry 7:
## MgBe3S (PBEsol)

Data for MgBe3S after structural relaxation.

The structure in CIF format:
```
data_MgBe3S
_cell_length_a 4.4901
_cell_length_b 4.4901
_cell_length_c 4.4901
_cell_angle_alpha 90.00
_cell_angle_beta 90.00
_cell_angle_gamma 90.00
_space_group_name_H-M_alt 'P 1'
_space_group_IT_number 1
loop_
_space_group_symop_operation_xyz
'x,y,z'
loop_
_atom_site_label
_atom_site_fract_x
_atom_site_fract_y
_atom_site_fract_z
Be1 0.0000 0.5000 0.0000
Be2 0.0000 0.0000 0.5000
Be3 0.5000 0.0000 0.0000
S1 0.5000 0.5000 0.5000
Mg1 0.0000 0.0000 0.0000
```

## Properties
Magnetic moment (μB per formula unit): 0.00
Total DFT energy (no corrections) (eV/atom): -1.965
Energy relative to the elements, uncorrected (kJ/mol of formula units): 798
Crystal system: cubic
Volume (Å³/atom): 18.1
Density (g/cm3): 1.5

***

Entry 8:
## KSi (PBEsol)

Data for KSi after structural relaxation.

The structure in CIF format:
```
data_KSi
_cell_length_a 5.1030
_cell_length_b 5.1030
_cell_length_c 5.8299
_cell_angle_alpha 90.00
_cell_angle_beta 90.00
_cell_angle_gamma 120.00
_space_group_name_H-M_alt 'P 1'
_space_group_IT_number 1
loop_
_space_group_symop_operation_xyz
'x,y,z'
loop_
_atom_site_label
_atom_site_fract_x
_atom_site_fract_y
_atom_site_fract_z
K1 0.0000 0.0000 0.0000
K2 0.0000 0.0000 0.5000
Si1 0.6667 0.3333 0.7500
Si2 0.3333 0.6667 0.2500
```

## Properties
Magnetic moment (μB per formula unit): 0.00
Total DFT energy (no corrections) (eV/atom): -2.203
Offset from the most stable computed form (meV per atom): 1301
Energy relative to the elements, uncorrected (kJ/mol of formula units): 239
Crystal system: hexagonal
Volume (Å³/atom): 32.9
Density (g/cm3): 1.7